Entry 1:
First-principles (SCAN) data for LiHoO2 at its PBEsol-relaxed geometry, as listed in Alexandria via LeMat-Bulk.

Computed properties:
Fermi-level density of states, states/eV/cell: 0.000
ΔE_f (raw), kJ/mol of atoms: -303.6

The structure in CIF format:
```
data_LiHoO2
_chemical_formula_sum 'Li3 Ho3 O6'
_space_group_name_H-M_alt 'R -3 m'
_space_group_IT_number 166
_space_group_name_Hall '-R 3 2"'
_cell_length_a 3.3147
_cell_length_b 3.3147
_cell_length_c 14.8618
_cell_angle_alpha 90.00
_cell_angle_beta 90.00
_cell_angle_gamma 120.00
loop_
_atom_site_label
_atom_site_fract_x
_atom_site_fract_y
_atom_site_fract_z
_atom_site_occupancy
Li1 0.0000 0.0000 0.0000 1
Ho1 0.0000 0.0000 0.5000 1
O1 0.0000 0.0000 0.2457 1
```



Entry 2:
First-principles (SCAN) data for LiHoO2 at its PBEsol-relaxed geometry, as listed in Alexandria via LeMat-Bulk.

Computed properties:
Fermi-level density of states, states/eV/cell: 0.000
ΔE_f (raw), kJ/mol of atoms: -311.8

The structure in CIF format:
```
data_LiHoO2
_chemical_formula_sum 'Li4 Ho4 O8'
_space_group_name_H-M_alt 'P 1 21/c 1'
_space_group_IT_number 14
_cell_length_a 6.0952
_cell_length_b 6.0921
_cell_length_c 6.1738
_cell_angle_alpha 90.00
_cell_angle_beta 119.15
_cell_angle_gamma 90.00
loop_
_space_group_symop_operation_xyz
'x,y,z'
'-x,-y,-z'
'-x,y+1/2,-z+1/2'
'x,-y+1/2,z+1/2'
loop_
_atom_site_label
_atom_site_fract_x
_atom_site_fract_y
_atom_site_fract_z
_atom_site_occupancy
Li1 0.2114 0.1530 0.4408 1
Ho1 0.2651 0.6300 0.5199 1
O1 0.0450 0.6100 0.7353 1
O2 0.4909 0.1696 0.1586 1
```



Entry 3:
First-principles (SCAN) data for Li3Ho3Te2O12 at its PBEsol-relaxed geometry, as listed in Alexandria via LeMat-Bulk.

Computed properties:
Fermi-level density of states, states/eV/cell: 0.000
ΔE_f (raw), kJ/mol of atoms: -251.3

The structure in CIF format:
```
data_Li3Ho3Te2O12
_chemical_formula_sum 'Li24 Ho24 Te16 O96'
_space_group_name_H-M_alt 'I a -3 d'
_space_group_IT_number 230
_space_group_name_Hall '-I 4bd 2c 3'
_cell_length_a 12.2072
_cell_length_b 12.2072
_cell_length_c 12.2072
_cell_angle_alpha 90.00
_cell_angle_beta 90.00
_cell_angle_gamma 90.00
loop_
_atom_site_label
_atom_site_fract_x
_atom_site_fract_y
_atom_site_fract_z
_atom_site_occupancy
Li1 0.0000 0.2500 0.3750 1
Ho1 0.0000 0.2500 0.1250 1
Te1 0.0000 0.0000 0.0000 1
O1 0.0259 0.0546 0.6471 1
```



Entry 4:
First-principles (SCAN) data for LiHoW2O8 at its PBEsol-relaxed geometry, as listed in Alexandria via LeMat-Bulk.

Computed properties:
Fermi-level density of states, states/eV/cell: 0.000
ΔE_f (raw), kJ/mol of atoms: -262.3

The structure in CIF format:
```
data_LiHoW2O8
_chemical_formula_sum 'Li2 Ho2 W4 O16'
_space_group_name_H-M_alt 'P 1 2/c 1'
_space_group_IT_number 13
_cell_length_a 4.9737
_cell_length_b 5.8103
_cell_length_c 10.8330
_cell_angle_alpha 90.00
_cell_angle_beta 113.88
_cell_angle_gamma 90.00
loop_
_space_group_symop_operation_xyz
'x,y,z'
'-x,-y,-z'
'-x,y,-z+1/2'
'x,-y,z+1/2'
loop_
_atom_site_label
_atom_site_fract_x
_atom_site_fract_y
_atom_site_fract_z
_atom_site_occupancy
Li1 0.0000 0.2319 0.2500 1
Ho1 0.5000 0.1892 0.7500 1
W1 0.2664 0.3206 0.0159 1
O1 0.1506 0.3904 0.5957 1
O2 0.2298 0.1277 0.1373 1
O3 0.2843 0.1266 0.8899 1
O4 0.3469 0.4145 0.3868 1
```